No. 1
# NiIr7Ru4 | the Alexandria database | GGA-PBE | optimized geometry
# Crystal system: monoclinic
# Symmetry: C2/m (12)
data_NiIr7Ru4
_chemical_formula_sum 'Ni1 Ir7 Ru4'
_cell_length_a 5.732
_cell_length_b 5.732
_cell_length_c 9.345
_cell_angle_alpha 118.83
_cell_angle_beta 118.83
_cell_angle_gamma 46.46
_space_group_name_H-M_alt 'P 1'
_space_group_IT_number 1
_space_group_name_Hall 'P 1'
loop_
_atom_site_label
_atom_site_type_symbol
_atom_site_fract_x
_atom_site_fract_y
_atom_site_fract_z
Ni1 Ni 0.000 0.000 0.000
Ir1 Ir 0.076 0.076 0.350
Ir2 Ir 0.217 0.217 0.912
Ir3 Ir 0.359 0.359 0.449
Ir4 Ir 0.500 0.500 0.000
Ir5 Ir 0.641 0.641 0.551
Ir6 Ir 0.783 0.783 0.088
Ir7 Ir 0.924 0.924 0.650
Ru1 Ru 0.285 0.285 0.687
Ru2 Ru 0.436 0.436 0.231
Ru3 Ru 0.564 0.564 0.769
Ru4 Ru 0.715 0.715 0.313

***

No. 2
# Rb4Au3 | the Alexandria database | GGA-PBE | optimized geometry
# Crystal system: trigonal
# Symmetry: R-3m (166)
data_Rb4Au3
_chemical_formula_sum 'Rb4 Au3'
_cell_length_a 10.284
_cell_length_b 10.284
_cell_length_c 10.284
_cell_angle_alpha 33.58
_cell_angle_beta 33.58
_cell_angle_gamma 33.58
_space_group_name_H-M_alt 'P 1'
_space_group_IT_number 1
_space_group_name_Hall 'P 1'
loop_
_atom_site_label
_atom_site_type_symbol
_atom_site_fract_x
_atom_site_fract_y
_atom_site_fract_z
Rb1 Rb 0.121 0.121 0.121
Rb2 Rb 0.370 0.370 0.370
Rb3 Rb 0.630 0.630 0.630
Rb4 Rb 0.879 0.879 0.879
Au1 Au 0.000 0.000 0.000
Au2 Au 0.245 0.245 0.245
Au3 Au 0.755 0.755 0.755

***

No. 3
# Sc5Cd2Hg12 | the Alexandria database | GGA-PBE | optimized geometry
# Crystal system: monoclinic
# Symmetry: C2/m (12)
data_Sc5Cd2Hg12
_chemical_formula_sum 'Sc5 Cd2 Hg12'
_cell_length_a 8.367
_cell_length_b 8.367
_cell_length_c 7.604
_cell_angle_alpha 92.26
_cell_angle_beta 92.26
_cell_angle_gamma 55.54
_space_group_name_H-M_alt 'P 1'
_space_group_IT_number 1
_space_group_name_Hall 'P 1'
loop_
_atom_site_label
_atom_site_type_symbol
_atom_site_fract_x
_atom_site_fract_y
_atom_site_fract_z
Sc1 Sc 0.000 0.000 0.000
Sc2 Sc 0.243 0.243 0.056
Sc3 Sc 0.334 0.334 0.567
Sc4 Sc 0.666 0.666 0.433
Sc5 Sc 0.757 0.757 0.944
Cd1 Cd 0.203 0.797 0.500
Cd2 Cd 0.797 0.203 0.500
Hg1 Hg 0.025 0.618 0.269
Hg2 Hg 0.152 0.152 0.384
Hg3 Hg 0.184 0.594 0.892
Hg4 Hg 0.382 0.975 0.731
Hg5 Hg 0.406 0.816 0.108
Hg6 Hg 0.458 0.458 0.263
Hg7 Hg 0.542 0.542 0.737
Hg8 Hg 0.594 0.184 0.892
Hg9 Hg 0.618 0.025 0.269
Hg10 Hg 0.816 0.406 0.108
Hg11 Hg 0.848 0.848 0.616
Hg12 Hg 0.975 0.382 0.731

***

No. 4
# Ta2CoP | the Alexandria database | GGA-PBE | optimized geometry
# Crystal system: orthorhombic
# Symmetry: Cmmm (65)
data_Ta2CoP
_chemical_formula_sum 'Ta2 Co1 P1'
_cell_length_a 4.402
_cell_length_b 4.402
_cell_length_c 3.091
_cell_angle_alpha 90.00
_cell_angle_beta 90.00
_cell_angle_gamma 103.13
_space_group_name_H-M_alt 'P 1'
_space_group_IT_number 1
_space_group_name_Hall 'P 1'
loop_
_atom_site_label
_atom_site_type_symbol
_atom_site_fract_x
_atom_site_fract_y
_atom_site_fract_z
Ta1 Ta 0.000 0.500 0.000
Ta2 Ta 0.500 0.000 0.000
Co1 Co 0.000 0.000 0.500
P1 P 0.500 0.500 0.500

***

no.,DFT formation energy (kJ/mol of formula units)
1,652
2,-172
3,-308
4,-101